# PBE with a Hubbard U VNi3AsO8, optimized geometry
# * space group: C2/m, No. 12
# * VASP energy: -5.95 eV per atom
data_VNi3AsO8
_cell_length_a 6.472
_cell_length_b 6.472
_cell_length_c 8.314
_cell_angle_alpha 90.07
_cell_angle_beta 90.07
_cell_angle_gamma 55.29
_space_group_name_H-M_alt 'P 1'
_space_group_IT_number 1
loop_
_space_group_symop_operation_xyz
'x,y,z'
loop_
_atom_site_label
_atom_site_type_symbol
_atom_site_fract_x
_atom_site_fract_y
_atom_site_fract_z
V1 V 0.122 0.122 0.382
V2 V 0.878 0.878 0.618
Ni1 Ni 0.000 0.000 0.000
Ni2 Ni 0.118 0.617 0.247
Ni3 Ni 0.383 0.882 0.753
Ni4 Ni 0.500 0.500 0.500
Ni5 Ni 0.617 0.118 0.247
Ni6 Ni 0.882 0.383 0.753
As1 As 0.376 0.376 0.883
As2 As 0.624 0.624 0.117
O1 O 0.002 0.002 0.755
O2 O 0.117 0.648 0.497
O3 O 0.141 0.617 0.999
O4 O 0.251 0.251 0.272
O5 O 0.253 0.253 0.765
O6 O 0.352 0.883 0.503
O7 O 0.383 0.859 0.001
O8 O 0.498 0.498 0.750
O9 O 0.502 0.502 0.250
O10 O 0.617 0.141 0.999
O11 O 0.648 0.117 0.497
O12 O 0.747 0.747 0.235
O13 O 0.749 0.749 0.728
O14 O 0.859 0.383 0.001
O15 O 0.883 0.352 0.503
O16 O 0.998 0.998 0.245